(1)
{"formula": "SiSnPt2O", "functional": "PBE-GGA", "state": "relaxed", "lattice": [[4.8994, 0.0000, 0.0000], [0.0000, 3.3556, 0.0000], [0.0000, 0.0000, 4.8994]], "species": ["Sn", "Pt", "Si", "Pt", "O"], "frac_coords": [[0.5000, 0.5000, 0.5000], [0.0000, 0.0000, 0.5000], [0.0000, 0.0000, 0.0000], [0.5000, 0.0000, 0.0000], [0.0000, 0.5000, 0.0000]], "formation_energy_uncorrected_ev_per_atom": -0.50, "space_group": "No. 123"}

=====

(2)
{"formula": "SrSiPt2O", "functional": "PBE-GGA", "state": "relaxed", "lattice": [[-3.3930, -0.6317, 3.1686], [1.2310, -3.8550, 0.5496], [2.9060, 1.4117, 3.3932]], "species": ["O", "Sr", "Si", "Pt", "Pt"], "frac_coords": [[0.0000, 0.0000, 0.0000], [0.5000, 0.5000, 0.5000], [0.0000, 0.5000, 0.0000], [0.0000, 0.0000, 0.5000], [0.5000, 0.0000, 0.0000]], "formation_energy_uncorrected_ev_per_atom": -0.11, "space_group": "No. 123"}

=====

(3)
{"formula": "TaSi2PtO", "functional": "PBE-GGA", "state": "relaxed", "lattice": [[-0.0721, 3.5626, -2.0434], [-3.1717, -1.4379, -2.3949], [-2.7140, 1.4926, 2.6981]], "species": ["Pt", "O", "Si", "Si", "Ta"], "frac_coords": [[0.0000, 0.5000, 0.0000], [0.0000, 0.0000, 0.0000], [0.5000, 0.0000, 0.0000], [0.0000, 0.0000, 0.5000], [0.5000, 0.5000, 0.5000]], "formation_energy_uncorrected_ev_per_atom": 0.11, "space_group": "No. 123"}

=====

(4)
{"formula": "Sm2PtO6", "functional": "PBE-GGA", "state": "relaxed", "lattice": [[3.7266, 0.0000, -0.1438], [0.0000, 5.4614, 0.0000], [-1.6460, -2.7307, 5.6809]], "species": ["O", "Pt", "O", "O", "O", "Sm", "O", "O", "Sm"], "frac_coords": [[0.8510, 0.0826, 0.7018], [0.0000, 0.0000, 0.0000], [0.1490, 0.9174, 0.2982], [0.8510, 0.6191, 0.7018], [0.1490, 0.3809, 0.2982], [0.6690, 0.6691, 0.3382], [0.5000, 0.7892, 0.0000], [0.5000, 0.2108, 0.0000], [0.3310, 0.3309, 0.6618]], "formation_energy_uncorrected_ev_per_atom": -1.88, "space_group": "No. 71"}

=====

(5)
{"formula": "Sm5Pt2O12", "functional": "PBE-GGA", "state": "relaxed", "lattice": [[6.0898, 0.0000, 0.0000], [-3.0449, 6.0832, -1.8648], [0.0000, -0.0066, 7.4277]], "species": ["O", "O", "Sm", "O", "Sm", "O", "Sm", "O", "O", "Pt", "O", "O", "O", "Sm", "Sm", "O", "O", "O", "Pt"], "frac_coords": [[0.4006, 0.3040, 0.5741], [0.0985, 0.6691, 0.9162], [0.0000, 0.0000, 0.5000], [0.4999, 0.9998, 0.1810], [0.3046, 0.6092, 0.1648], [0.4294, 0.3309, 0.0838], [0.6997, 0.3995, 0.3598], [0.0000, 0.0001, 0.8225], [0.5994, 0.6960, 0.4259], [0.2476, 0.0000, 0.0000], [0.0000, 0.9999, 0.1775], [0.5706, 0.6691, 0.9162], [0.9015, 0.3309, 0.0838], [0.3003, 0.6005, 0.6402], [0.6954, 0.3908, 0.8352], [0.0966, 0.6960, 0.4259], [0.9034, 0.3040, 0.5741], [0.5001, 0.0002, 0.8190], [0.7524, 0.0000, 0.0000]], "formation_energy_uncorrected_ev_per_atom": -2.49, "space_group": "No. 12"}

=====

(6)
{"formula": "Sm3Pt2O", "functional": "PBE-GGA", "state": "relaxed", "lattice": [[6.4448, 0.0000, 0.0000], [0.0000, 7.2719, 0.8313], [-3.2224, -1.1723, 5.9505]], "species": ["Sm", "Sm", "Pt", "O", "Pt", "O", "Sm", "Pt", "Sm", "Sm", "Sm", "Pt"], "frac_coords": [[0.6357, 0.7500, 0.0000], [0.0196, 0.1870, 0.3145], [0.3918, 0.9922, 0.6503], [0.9778, 0.7500, 0.0000], [0.7416, 0.5078, 0.3497], [0.0222, 0.2500, 0.0000], [0.3643, 0.2500, 0.0000], [0.6082, 0.0078, 0.3497], [0.9804, 0.8131, 0.6855], [0.2948, 0.6869, 0.3145], [0.7052, 0.3130, 0.6855], [0.2584, 0.4922, 0.6503]], "formation_energy_uncorrected_ev_per_atom": -1.65, "space_group": "No. 15"}

=====

(7)
{"formula": "Sm3PtO6", "functional": "PBE-GGA", "state": "relaxed", "lattice": [[-6.2490, 1.7799, -1.9904], [0.2323, -5.2728, -4.2805], [-2.3440, -3.8142, 5.1124]], "species": ["Pt", "O", "O", "O", "Sm", "Sm", "O", "Pt", "O", "O", "O", "Sm", "O", "Sm", "Sm", "O", "O", "Sm", "O", "O"], "frac_coords": [[0.0000, 0.0000, 0.0000], [0.1041, 0.9367, 0.6766], [0.6766, 0.1041, 0.9367], [0.2074, 0.5370, 0.4143], [0.2533, 0.5627, 0.0716], [0.9284, 0.7467, 0.4373], [0.5370, 0.4143, 0.2074], [0.5000, 0.5000, 0.5000], [0.4143, 0.2074, 0.5370], [0.0633, 0.3234, 0.8959], [0.3234, 0.8959, 0.0633], [0.5627, 0.0716, 0.2533], [0.9367, 0.6766, 0.1041], [0.7467, 0.4373, 0.9284], [0.4373, 0.9284, 0.7467], [0.4630, 0.5857, 0.7926], [0.7926, 0.4630, 0.5857], [0.0716, 0.2533, 0.5627], [0.5857, 0.7926, 0.4630], [0.8959, 0.0633, 0.3234]], "formation_energy_uncorrected_ev_per_atom": -2.60, "space_group": "No. 148", "e_above_lowest_polymorph_mev_per_atom": 0}

=====

(8)
{"formula": "Sm2PtO", "functional": "PBE-GGA", "state": "relaxed", "lattice": [[-1.8089, -6.3481, 0.0033], [0.1028, -0.0261, 6.1363], [-7.5355, 3.8786, 0.1427]], "species": ["Pt", "Sm", "Sm", "O", "Sm", "Pt", "Pt", "Sm", "O", "Pt", "O", "Sm", "Sm", "Sm", "O", "Sm"], "frac_coords": [[0.1064, 0.3777, 0.1343], [0.7012, 0.6227, 0.1449], [0.4742, 0.2549, 0.4209], [0.2641, 0.4558, 0.5705], [0.0258, 0.7549, 0.5791], [0.6064, 0.1223, 0.1343], [0.3936, 0.8777, 0.8657], [0.7988, 0.1227, 0.8551], [0.7359, 0.5442, 0.4295], [0.8936, 0.6223, 0.8657], [0.7641, 0.0442, 0.5705], [0.5258, 0.7451, 0.5791], [0.9742, 0.2451, 0.4209], [0.2012, 0.8773, 0.1449], [0.2359, 0.9558, 0.4295], [0.2988, 0.3773, 0.8551]], "formation_energy_uncorrected_ev_per_atom": -1.85, "space_group": "No. 14", "e_above_lowest_polymorph_mev_per_atom": 0}